Entry 1:
! GGA-PBE Tm2AlZnIr2, optimized geometry; values from VASP
&SYSTEM
  ibrav = 0, nat = 12, ntyp = 4
/
ATOMIC_SPECIES
Al 26.98 Al.upf
Ir 192.22 Ir.upf
Zn 65.41 Zn.upf
Tm 168.93 Tm.upf
ATOMIC_POSITIONS crystal
Al 0.500 0.750 0.000
Al 0.500 0.250 0.000
Ir 0.390 0.618 0.237
Ir 0.610 0.382 0.763
Ir 0.153 0.882 0.763
Ir 0.847 0.118 0.237
Zn 0.000 0.250 0.000
Zn 0.000 0.750 0.000
Tm 0.406 0.174 0.348
Tm 0.594 0.826 0.652
Tm 0.942 0.674 0.348
Tm 0.058 0.326 0.652
CELL_PARAMETERS angstrom
5.656 0.000 0.000
0.000 5.675 0.000
-2.828 -2.837 7.101
! Formation energy from the elements ... -4.870 eV/f.u.
! SG ... No. 72
! Total energy ... -6.09 eV/atom

---

Entry 2:
! GGA-PBE TmZrAlIr, optimized geometry; values from VASP
&SYSTEM
  ibrav = 0, nat = 4, ntyp = 4
/
ATOMIC_SPECIES
Ir 192.22 Ir.upf
Tm 168.93 Tm.upf
Al 26.98 Al.upf
Zr 91.22 Zr.upf
ATOMIC_POSITIONS crystal
Ir 0.000 0.000 0.000
Tm 0.750 0.750 0.750
Al 0.500 0.500 0.500
Zr 0.250 0.250 0.250
CELL_PARAMETERS angstrom
-2.907 -2.925 -2.492
1.505 -4.406 -1.242
-1.905 -3.883 2.123
! Formation energy from the elements ... -2.105 eV/f.u.
! SG ... No. 216
! Total energy ... -6.93 eV/atom

---

Entry 3:
! GGA-PBE UAl3Ir2, optimized geometry; values from VASP
&SYSTEM
  ibrav = 0, nat = 12, ntyp = 3
/
ATOMIC_SPECIES
Al 26.98 Al.upf
Ir 192.22 Ir.upf
U 238.03 U.upf
ATOMIC_POSITIONS crystal
Al 0.000 0.365 0.286
Al 0.500 0.636 0.184
Al 0.000 0.865 0.714
Al 0.000 0.960 0.086
Al 0.500 0.136 0.816
Al 0.000 0.460 0.914
Ir 0.500 0.263 0.116
Ir 0.000 0.745 0.386
Ir 0.000 0.245 0.614
Ir 0.500 0.763 0.884
U 0.500 0.532 0.580
U 0.500 0.032 0.420
CELL_PARAMETERS angstrom
-2.202 -3.093 -1.484
-2.147 -1.383 6.068
-6.027 4.791 -1.041
! Formation energy from the elements ... -3.916 eV/f.u.
! SG ... No. 26
! Total energy ... -7.36 eV/atom

---

Entry 4:
! GGA-PBE U2AlIr3, optimized geometry; values from VASP
&SYSTEM
  ibrav = 0, nat = 6, ntyp = 3
/
ATOMIC_SPECIES
Ir 192.22 Ir.upf
U 238.03 U.upf
Al 26.98 Al.upf
ATOMIC_POSITIONS crystal
Ir 0.000 0.000 0.500
Ir 0.000 0.500 0.000
Ir 0.500 0.000 0.000
U 0.384 0.384 0.384
U 0.616 0.616 0.616
Al 0.000 0.000 0.000
CELL_PARAMETERS angstrom
4.619 -0.070 2.052
1.307 4.431 2.052
-0.095 -0.070 5.054
! Formation energy from the elements ... -4.324 eV/f.u.
! SG ... No. 166
! Total energy ... -9.54 eV/atom

---

Entry 5:
! GGA-PBE U2Al9Ir3, optimized geometry; values from VASP
&SYSTEM
  ibrav = 0, nat = 28, ntyp = 3
/
ATOMIC_SPECIES
Al 26.98 Al.upf
Ir 192.22 Ir.upf
U 238.03 U.upf
ATOMIC_POSITIONS crystal
Al 0.132 0.132 0.750
Al 0.665 0.665 0.947
Al 0.665 0.665 0.553
Al 0.662 0.997 0.425
Al 0.997 0.662 0.075
Al 0.335 0.335 0.053
Al 0.003 0.338 0.575
Al 0.662 0.997 0.075
Al 0.003 0.338 0.925
Al 0.658 0.449 0.250
Al 0.335 0.335 0.447
Al 0.342 0.551 0.750
Al 0.997 0.662 0.425
Al 0.551 0.342 0.750
Al 0.449 0.658 0.250
Al 0.868 0.868 0.250
Al 0.338 0.003 0.925
Al 0.338 0.003 0.575
Ir 0.327 0.673 0.500
Ir 0.673 0.327 0.000
Ir 0.000 0.000 0.000
Ir 0.327 0.673 0.000
Ir 0.000 0.000 0.500
Ir 0.673 0.327 0.500
U 0.003 0.326 0.250
U 0.997 0.674 0.750
U 0.326 0.003 0.250
U 0.674 0.997 0.750
CELL_PARAMETERS angstrom
-3.002 -6.861 1.207
4.213 1.157 -6.202
7.688 -2.528 4.751
! Formation energy from the elements ... -8.643 eV/f.u.
! SG ... No. 63
! Total energy ... -6.53 eV/atom

---

Entry 6:
! GGA-PBE UAl4Ir5, optimized geometry; values from VASP
&SYSTEM
  ibrav = 0, nat = 10, ntyp = 3
/
ATOMIC_SPECIES
Al 26.98 Al.upf
Ir 192.22 Ir.upf
U 238.03 U.upf
ATOMIC_POSITIONS crystal
Al 0.000 0.000 0.782
Al 0.000 0.000 0.593
Al 0.000 0.000 0.218
Al 0.000 0.000 0.407
Ir 0.500 0.500 0.685
Ir 0.500 0.500 0.500
Ir 0.500 0.500 0.315
Ir 0.500 0.500 0.873
Ir 0.500 0.500 0.127
U 0.000 0.000 0.000
CELL_PARAMETERS angstrom
-2.772 -1.101 -0.365
1.071 -2.067 -1.899
2.427 -10.270 12.547
! Formation energy from the elements ... -8.561 eV/f.u.
! SG ... No. 123
! Total energy ... -7.91 eV/atom